An optimized crystal structure of ZrHgMoW2. Source: Alexandria, functional PBE-GGA.

Cell: 4.7056 4.7056 5.1488 Å, 90.00 90.00 90.00°
Space group P4/mmm (No. 123)
Inequivalent atoms, fractional coordinates:
1 Zr 0.0000 0.0000 0.0000 [1 per cell]
2 Hg 0.5000 0.5000 0.0000 [1 per cell]
3 Mo 0.5000 0.5000 0.5000 [1 per cell]
4 W 0.0000 0.5000 0.5000 [2 per cell]

Values from the calculation:
crystal system	tetragonal
E_form	1.582	eV per atom
uncorrected energy	-7.54	eV/atom
total magnetization	0.00	μB per formula unit
D(E_F)	0.990	states/eV per atom